1.
Entry from Alexandria via LeMat-Bulk: a relaxed structure of La6Si2IrCl3 (PBE-GGA).

## Properties
The final energy is -5.819 eV/atom. Its uncorrected formation energy is -1.252 eV per atom. The density of states at the Fermi level comes out at 8.5 states/eV/f.u.

Geometry as CIF:
```
data_La6Si2IrCl3
_symmetry_space_group_name_H-M 'P 1'
_symmetry_Int_Tables_number 1
_symmetry_space_group_name_Hall 'P 1'
_cell_length_a 9.593
_cell_length_b 9.593
_cell_length_c 8.795
_cell_angle_alpha 102.59
_cell_angle_beta 102.59
_cell_angle_gamma 25.81
loop_
_atom_site_label
_atom_site_type_symbol
_atom_site_fract_x
_atom_site_fract_y
_atom_site_fract_z
La1 La 0.002 0.002 0.231
La2 La 0.328 0.328 0.424
La3 La 0.346 0.346 0.903
La4 La 0.654 0.654 0.097
La5 La 0.672 0.672 0.576
La6 La 0.998 0.998 0.769
Si1 Si 0.164 0.164 0.339
Si2 Si 0.836 0.836 0.661
Ir1 Ir 0.500 0.500 0.000
Cl1 Cl 0.174 0.174 0.840
Cl2 Cl 0.500 0.500 0.500
Cl3 Cl 0.826 0.826 0.160
```

***

2.
Entry from Alexandria via LeMat-Bulk: a relaxed structure of La8Te3Ir3Cl (PBE-GGA).

## Properties
The final energy is -6.289 eV/atom. Its uncorrected formation energy is -1.137 eV per atom. The density of states at the Fermi level comes out at 14.7 states/eV/f.u.

Geometry as CIF:
```
data_La8Te3Ir3Cl
_symmetry_space_group_name_H-M 'P 1'
_symmetry_Int_Tables_number 1
_symmetry_space_group_name_Hall 'P 1'
_cell_length_a 8.943
_cell_length_b 8.943
_cell_length_c 8.943
_cell_angle_alpha 58.04
_cell_angle_beta 58.04
_cell_angle_gamma 58.04
loop_
_atom_site_label
_atom_site_type_symbol
_atom_site_fract_x
_atom_site_fract_y
_atom_site_fract_z
La1 La 0.217 0.751 0.751
La2 La 0.236 0.236 0.236
La3 La 0.249 0.249 0.783
La4 La 0.249 0.783 0.249
La5 La 0.751 0.217 0.751
La6 La 0.751 0.751 0.217
La7 La 0.764 0.764 0.764
La8 La 0.783 0.249 0.249
Te1 Te 0.000 0.500 0.500
Te2 Te 0.500 0.000 0.500
Te3 Te 0.500 0.500 0.000
Ir1 Ir 0.000 0.000 0.500
Ir2 Ir 0.000 0.500 0.000
Ir3 Ir 0.500 0.000 0.000
Cl1 Cl 0.500 0.500 0.500
```

***

3.
Entry from Alexandria via LeMat-Bulk: a relaxed structure of La2TeIrCl (PBE-GGA).

## Properties
The final energy is -5.609 eV/atom. Its uncorrected formation energy is -0.868 eV per atom. The density of states at the Fermi level comes out at 4.2 states/eV/f.u.

Geometry as CIF:
```
data_La2TeIrCl
_symmetry_space_group_name_H-M 'P 1'
_symmetry_Int_Tables_number 1
_symmetry_space_group_name_Hall 'P 1'
_cell_length_a 5.571
_cell_length_b 5.571
_cell_length_c 4.873
_cell_angle_alpha 90.00
_cell_angle_beta 90.00
_cell_angle_gamma 90.00
loop_
_atom_site_label
_atom_site_type_symbol
_atom_site_fract_x
_atom_site_fract_y
_atom_site_fract_z
La1 La 0.000 0.500 0.000
La2 La 0.500 0.000 0.000
Te1 Te 0.000 0.000 0.500
Ir1 Ir 0.500 0.500 0.000
Cl1 Cl 0.500 0.500 0.500
```

***

4.
Entry from Alexandria via LeMat-Bulk: a relaxed structure of La4TeIrCl2 (PBE-GGA).

## Properties
The final energy is -5.838 eV/atom. Its uncorrected formation energy is -1.412 eV per atom. The density of states at the Fermi level comes out at 6.2 states/eV/f.u.

Geometry as CIF:
```
data_La4TeIrCl2
_symmetry_space_group_name_H-M 'P 1'
_symmetry_Int_Tables_number 1
_symmetry_space_group_name_Hall 'P 1'
_cell_length_a 7.383
_cell_length_b 4.215
_cell_length_c 8.041
_cell_angle_alpha 90.00
_cell_angle_beta 108.91
_cell_angle_gamma 90.00
loop_
_atom_site_label
_atom_site_type_symbol
_atom_site_fract_x
_atom_site_fract_y
_atom_site_fract_z
La1 La 0.221 0.000 0.211
La2 La 0.255 0.500 0.780
La3 La 0.745 0.500 0.220
La4 La 0.779 0.000 0.789
Te1 Te 0.000 0.000 0.500
Ir1 Ir 0.000 0.500 0.000
Cl1 Cl 0.500 0.000 0.000
Cl2 Cl 0.500 0.500 0.500
```

***

5.
Entry from Alexandria via LeMat-Bulk: a relaxed structure of La4Te2IrCl (PBE-GGA).

## Properties
The final energy is -5.992 eV/atom. Its uncorrected formation energy is -1.404 eV per atom. The density of states at the Fermi level comes out at 6.1 states/eV/f.u.

Geometry as CIF:
```
data_La4Te2IrCl
_symmetry_space_group_name_H-M 'P 1'
_symmetry_Int_Tables_number 1
_symmetry_space_group_name_Hall 'P 1'
_cell_length_a 7.643
_cell_length_b 4.299
_cell_length_c 7.911
_cell_angle_alpha 90.00
_cell_angle_beta 108.95
_cell_angle_gamma 90.00
loop_
_atom_site_label
_atom_site_type_symbol
_atom_site_fract_x
_atom_site_fract_y
_atom_site_fract_z
La1 La 0.216 0.000 0.211
La2 La 0.249 0.500 0.771
La3 La 0.751 0.500 0.229
La4 La 0.784 0.000 0.789
Te1 Te 0.000 0.000 0.500
Te2 Te 0.500 0.500 0.500
Ir1 Ir 0.000 0.500 0.000
Cl1 Cl 0.500 0.000 0.000
```

***

6.
Entry from Alexandria via LeMat-Bulk: a relaxed structure of LaThIrCl (PBE-GGA).

## Properties
The final energy is -6.980 eV/atom. Its uncorrected formation energy is -1.216 eV per atom. The density of states at the Fermi level comes out at 3.0 states/eV/f.u.

Geometry as CIF:
```
data_LaThIrCl
_symmetry_space_group_name_H-M 'P 1'
_symmetry_Int_Tables_number 1
_symmetry_space_group_name_Hall 'P 1'
_cell_length_a 4.183
_cell_length_b 4.183
_cell_length_c 8.155
_cell_angle_alpha 104.91
_cell_angle_beta 104.91
_cell_angle_gamma 60.02
loop_
_atom_site_label
_atom_site_type_symbol
_atom_site_fract_x
_atom_site_fract_y
_atom_site_fract_z
La1 La 0.000 0.000 0.000
Th1 Th 0.202 0.202 0.609
Ir1 Ir 0.596 0.596 0.789
Cl1 Cl 0.771 0.771 0.311
```

***

7.
Entry from Alexandria via LeMat-Bulk: a relaxed structure of La6TlIr2Cl3 (PBE-GGA).

## Properties
The final energy is -5.787 eV/atom. Its uncorrected formation energy is -1.188 eV per atom. The density of states at the Fermi level comes out at 7.2 states/eV/f.u.

Geometry as CIF:
```
data_La6TlIr2Cl3
_symmetry_space_group_name_H-M 'P 1'
_symmetry_Int_Tables_number 1
_symmetry_space_group_name_Hall 'P 1'
_cell_length_a 10.534
_cell_length_b 10.534
_cell_length_c 8.990
_cell_angle_alpha 104.55
_cell_angle_beta 104.55
_cell_angle_gamma 22.90
loop_
_atom_site_label
_atom_site_type_symbol
_atom_site_fract_x
_atom_site_fract_y
_atom_site_fract_z
La1 La 0.030 0.030 0.283
La2 La 0.315 0.315 0.423
La3 La 0.336 0.336 0.878
La4 La 0.664 0.664 0.122
La5 La 0.685 0.685 0.577
La6 La 0.970 0.970 0.717
Tl1 Tl 0.500 0.500 0.000
Ir1 Ir 0.171 0.171 0.347
Ir2 Ir 0.829 0.829 0.653
Cl1 Cl 0.180 0.180 0.859
Cl2 Cl 0.500 0.500 0.500
Cl3 Cl 0.820 0.820 0.141
```

***

8.
Entry from Alexandria via LeMat-Bulk: a relaxed structure of La2TlIrCl (PBE-GGA).

## Properties
The final energy is -4.332 eV/atom. Its uncorrected formation energy is 0.254 eV per atom. The density of states at the Fermi level comes out at 5.7 states/eV/f.u.

Geometry as CIF:
```
data_La2TlIrCl
_symmetry_space_group_name_H-M 'P 1'
_symmetry_Int_Tables_number 1
_symmetry_space_group_name_Hall 'P 1'
_cell_length_a 6.024
_cell_length_b 6.024
_cell_length_c 4.987
_cell_angle_alpha 90.00
_cell_angle_beta 90.00
_cell_angle_gamma 90.00
loop_
_atom_site_label
_atom_site_type_symbol
_atom_site_fract_x
_atom_site_fract_y
_atom_site_fract_z
La1 La 0.000 0.500 0.000
La2 La 0.500 0.000 0.000
Tl1 Tl 0.000 0.000 0.000
Ir1 Ir 0.000 0.000 0.500
Cl1 Cl 0.500 0.500 0.500
```

***

9.
Entry from Alexandria via LeMat-Bulk: a relaxed structure of LaIrWCl2 (PBE-GGA).

## Properties
The final energy is -5.590 eV/atom. Its uncorrected formation energy is 0.497 eV per atom. The density of states at the Fermi level comes out at 4.2 states/eV/f.u.

Geometry as CIF:
```
data_LaIrWCl2
_symmetry_space_group_name_H-M 'P 1'
_symmetry_Int_Tables_number 1
_symmetry_space_group_name_Hall 'P 1'
_cell_length_a 4.484
_cell_length_b 4.484
_cell_length_c 6.790
_cell_angle_alpha 90.00
_cell_angle_beta 90.00
_cell_angle_gamma 90.00
loop_
_atom_site_label
_atom_site_type_symbol
_atom_site_fract_x
_atom_site_fract_y
_atom_site_fract_z
La1 La 0.000 0.000 0.000
Ir1 Ir 0.500 0.500 0.000
W1 W 0.000 0.000 0.500
Cl1 Cl 0.000 0.500 0.500
Cl2 Cl 0.500 0.000 0.500
```

***

10.
Entry from Alexandria via LeMat-Bulk: a relaxed structure of LaIr2WCl (PBE-GGA).

## Properties
The final energy is -7.336 eV/atom. Its uncorrected formation energy is 0.154 eV per atom. The density of states at the Fermi level comes out at 3.1 states/eV/f.u.

Geometry as CIF:
```
data_LaIr2WCl
_symmetry_space_group_name_H-M 'P 1'
_symmetry_Int_Tables_number 1
_symmetry_space_group_name_Hall 'P 1'
_cell_length_a 4.898
_cell_length_b 4.898
_cell_length_c 4.672
_cell_angle_alpha 90.00
_cell_angle_beta 90.00
_cell_angle_gamma 90.00
loop_
_atom_site_label
_atom_site_type_symbol
_atom_site_fract_x
_atom_site_fract_y
_atom_site_fract_z
La1 La 0.000 0.000 0.000
Ir1 Ir 0.000 0.500 0.500
Ir2 Ir 0.500 0.000 0.500
W1 W 0.500 0.500 0.500
Cl1 Cl 0.500 0.500 0.000
```